1.
# RbTeIrI2, relaxed, DFT PBE
# Magnetization (Bohr magnetons per cell): 0.0
# E_form (uncorrected) (eV per atom): -0.26
# DFT total energy (eV/f.u.): -17.39
# Polymorph energy (0 for the lowest one) (eV per formula unit): 0.000
data_RbTeIrI2
_chemical_formula_sum 'Rb1 Te1 Ir1 I2'
_space_group_name_H-M_alt 'P 4/m m m'
_space_group_IT_number 123
_space_group_name_Hall '-P 4 2'
_cell_length_a 5.863
_cell_length_b 5.863
_cell_length_c 5.080
_cell_angle_alpha 90.00
_cell_angle_beta 90.00
_cell_angle_gamma 90.00
loop_
_atom_site_label
_atom_site_fract_x
_atom_site_fract_y
_atom_site_fract_z
Rb1 0.000 0.000 0.000
Te1 0.500 0.500 0.000
Ir1 0.500 0.500 0.500
I1 0.000 0.500 0.500

2.
# Rb2TeIrI, relaxed, DFT PBE
# Magnetization (Bohr magnetons per cell): 0.0
# E_form (uncorrected) (eV per atom): -0.40
# DFT total energy (eV/f.u.): -17.51
data_Rb2TeIrI
_chemical_formula_sum 'Rb2 Te1 Ir1 I1'
_space_group_name_H-M_alt 'P 4/m m m'
_space_group_IT_number 123
_space_group_name_Hall '-P 4 2'
_cell_length_a 6.734
_cell_length_b 6.734
_cell_length_c 4.858
_cell_angle_alpha 90.00
_cell_angle_beta 90.00
_cell_angle_gamma 90.00
loop_
_atom_site_label
_atom_site_fract_x
_atom_site_fract_y
_atom_site_fract_z
Rb1 0.000 0.500 0.000
Te1 0.000 0.000 0.500
Ir1 0.000 0.000 0.000
I1 0.500 0.500 0.500

3.
# Rb2VIrI6, relaxed, DFT PBE
# Magnetization (Bohr magnetons per cell): 1.7
# E_form (uncorrected) (eV per atom): -0.40
# DFT total energy (eV/f.u.): -33.24
data_Rb2VIrI6
_chemical_formula_sum 'Rb4 V2 Ir2 I12'
_space_group_name_H-M_alt 'I 4/m m m'
_space_group_IT_number 139
_space_group_name_Hall '-I 4 2'
_cell_length_a 7.998
_cell_length_b 7.998
_cell_length_c 11.232
_cell_angle_alpha 90.00
_cell_angle_beta 90.00
_cell_angle_gamma 90.00
loop_
_atom_site_label
_atom_site_fract_x
_atom_site_fract_y
_atom_site_fract_z
Rb1 0.000 0.500 0.250
V1 0.000 0.000 0.000
Ir1 0.000 0.000 0.500
I1 0.000 0.000 0.252
I2 0.247 0.247 0.500

4.
# Rb2ZrIrI6, relaxed, DFT PBE
# Magnetization (Bohr magnetons per cell): 0.0
# E_form (uncorrected) (eV per atom): -0.61
# DFT total energy (eV/f.u.): -34.75
data_Rb2ZrIrI6
_chemical_formula_sum 'Rb4 Zr2 Ir2 I12'
_space_group_name_H-M_alt 'I 4/m m m'
_space_group_IT_number 139
_space_group_name_Hall '-I 4 2'
_cell_length_a 8.204
_cell_length_b 8.204
_cell_length_c 11.438
_cell_angle_alpha 90.00
_cell_angle_beta 90.00
_cell_angle_gamma 90.00
loop_
_atom_site_label
_atom_site_fract_x
_atom_site_fract_y
_atom_site_fract_z
Rb1 0.000 0.500 0.250
Zr1 0.000 0.000 0.000
Ir1 0.000 0.000 0.500
I1 0.000 0.000 0.256
I2 0.246 0.246 0.500

5.
# Re3IrI, relaxed, DFT PBE
# Magnetization (Bohr magnetons per cell): 1.9
# E_form (uncorrected) (eV per atom): 2.38
# DFT total energy (eV/f.u.): -35.84
# Polymorph energy (0 for the lowest one) (eV per formula unit): 0.000
data_Re3IrI
_chemical_formula_sum 'Re3 Ir1 I1'
_space_group_name_H-M_alt 'P m -3 m'
_space_group_IT_number 221
_space_group_name_Hall '-P 4 2 3'
_cell_length_a 4.803
_cell_length_b 4.803
_cell_length_c 4.803
_cell_angle_alpha 90.00
_cell_angle_beta 90.00
_cell_angle_gamma 90.00
loop_
_atom_site_label
_atom_site_fract_x
_atom_site_fract_y
_atom_site_fract_z
Re1 0.000 0.000 0.500
Ir1 0.000 0.000 0.000
I1 0.500 0.500 0.500

6.
# ReIr3I, relaxed, DFT PBE
# Magnetization (Bohr magnetons per cell): 4.6
# E_form (uncorrected) (eV per atom): 2.66
# DFT total energy (eV/f.u.): -27.26
# Polymorph energy (0 for the lowest one) (eV per formula unit): 4.569
data_ReIr3I
_chemical_formula_sum 'Re1 Ir3 I1'
_space_group_name_H-M_alt 'P m -3 m'
_space_group_IT_number 221
_space_group_name_Hall '-P 4 2 3'
_cell_length_a 4.803
_cell_length_b 4.803
_cell_length_c 4.803
_cell_angle_alpha 90.00
_cell_angle_beta 90.00
_cell_angle_gamma 90.00
loop_
_atom_site_label
_atom_site_fract_x
_atom_site_fract_y
_atom_site_fract_z
Re1 0.000 0.000 0.000
Ir1 0.000 0.500 0.500
I1 0.500 0.500 0.500

7.
# Re2IrI, relaxed, DFT PBE
# Magnetization (Bohr magnetons per cell): 0.0
# E_form (uncorrected) (eV per atom): 1.15
# DFT total energy (eV/f.u.): -30.70
# Polymorph energy (0 for the lowest one) (eV per formula unit): 0.000
data_Re2IrI
_chemical_formula_sum 'Re8 Ir4 I4'
_space_group_name_H-M_alt 'F m -3 m'
_space_group_IT_number 225
_space_group_name_Hall '-F 4 2 3'
_cell_length_a 6.416
_cell_length_b 6.416
_cell_length_c 6.416
_cell_angle_alpha 90.00
_cell_angle_beta 90.00
_cell_angle_gamma 90.00
loop_
_atom_site_label
_atom_site_fract_x
_atom_site_fract_y
_atom_site_fract_z
Re1 0.250 0.250 0.250
Ir1 0.000 0.000 0.000
I1 0.000 0.000 0.500

8.
# ReIr3I, relaxed, DFT PBE
# Magnetization (Bohr magnetons per cell): 0.0
# E_form (uncorrected) (eV per atom): 1.75
# DFT total energy (eV/f.u.): -31.83
# Polymorph energy (0 for the lowest one) (eV per formula unit): 0.000
data_ReIr3I
_chemical_formula_sum 'Re1 Ir3 I1'
_space_group_name_H-M_alt 'P m -3 m'
_space_group_IT_number 221
_space_group_name_Hall '-P 4 2 3'
_cell_length_a 4.802
_cell_length_b 4.802
_cell_length_c 4.802
_cell_angle_alpha 90.00
_cell_angle_beta 90.00
_cell_angle_gamma 90.00
loop_
_atom_site_label
_atom_site_fract_x
_atom_site_fract_y
_atom_site_fract_z
Re1 0.000 0.000 0.000
Ir1 0.000 0.000 0.500
I1 0.500 0.500 0.500

9.
# Re2IrI, relaxed, DFT PBE
# Magnetization (Bohr magnetons per cell): 0.0
# E_form (uncorrected) (eV per atom): 1.45
# DFT total energy (eV/f.u.): -29.52
# Polymorph energy (0 for the lowest one) (eV per formula unit): 1.183
data_Re2IrI
_chemical_formula_sum 'Re8 Ir4 I4'
_space_group_name_H-M_alt 'I -4 2 d'
_space_group_IT_number 122
_space_group_name_Hall 'I -4 2bw'
_cell_length_a 5.945
_cell_length_b 5.945
_cell_length_c 11.008
_cell_angle_alpha 90.00
_cell_angle_beta 90.00
_cell_angle_gamma 90.00
loop_
_atom_site_label
_atom_site_fract_x
_atom_site_fract_y
_atom_site_fract_z
Re1 0.217 0.250 0.125
Ir1 0.000 0.000 0.000
I1 0.000 0.000 0.500

10.
# ReSbIrI2, relaxed, DFT PBE
# Magnetization (Bohr magnetons per cell): 0.9
# E_form (uncorrected) (eV per atom): 1.69
# DFT total energy (eV/f.u.): -20.09
# Polymorph energy (0 for the lowest one) (eV per formula unit): 0.795
data_ReSbIrI2
_chemical_formula_sum 'Re1 Sb1 Ir1 I2'
_space_group_name_H-M_alt 'P 4/m m m'
_space_group_IT_number 123
_space_group_name_Hall '-P 4 2'
_cell_length_a 5.307
_cell_length_b 5.307
_cell_length_c 5.161
_cell_angle_alpha 90.00
_cell_angle_beta 90.00
_cell_angle_gamma 90.00
loop_
_atom_site_label
_atom_site_fract_x
_atom_site_fract_y
_atom_site_fract_z
Re1 0.000 0.000 0.000
Sb1 0.000 0.000 0.500
Ir1 0.500 0.500 0.500
I1 0.000 0.500 0.000

11.
# ReSbIrI2, relaxed, DFT PBE
# Magnetization (Bohr magnetons per cell): 5.1
# E_form (uncorrected) (eV per atom): 1.53
# DFT total energy (eV/f.u.): -20.88
# Polymorph energy (0 for the lowest one) (eV per formula unit): 0.000
data_ReSbIrI2
_chemical_formula_sum 'Re1 Sb1 Ir1 I2'
_space_group_name_H-M_alt 'P 4/m m m'
_space_group_IT_number 123
_space_group_name_Hall '-P 4 2'
_cell_length_a 5.576
_cell_length_b 5.576
_cell_length_c 5.025
_cell_angle_alpha 90.00
_cell_angle_beta 90.00
_cell_angle_gamma 90.00
loop_
_atom_site_label
_atom_site_fract_x
_atom_site_fract_y
_atom_site_fract_z
Re1 0.000 0.000 0.000
Sb1 0.500 0.500 0.000
Ir1 0.500 0.500 0.500
I1 0.000 0.500 0.500

12.
# ReIrSe2I, relaxed, DFT PBE
# Magnetization (Bohr magnetons per cell): 4.5
# E_form (uncorrected) (eV per atom): 1.23
# DFT total energy (eV/f.u.): -23.69
data_ReIrSe2I
_chemical_formula_sum 'Re1 Ir1 Se2 I1'
_space_group_name_H-M_alt 'P 4/m m m'
_space_group_IT_number 123
_space_group_name_Hall '-P 4 2'
_cell_length_a 4.799
_cell_length_b 4.799
_cell_length_c 5.519
_cell_angle_alpha 90.00
_cell_angle_beta 90.00
_cell_angle_gamma 90.00
loop_
_atom_site_label
_atom_site_fract_x
_atom_site_fract_y
_atom_site_fract_z
Re1 0.000 0.000 0.000
Ir1 0.000 0.000 0.500
Se1 0.000 0.500 0.500
I1 0.500 0.500 0.000

13.
# SrRe2IrI, relaxed, DFT PBE
# Magnetization (Bohr magnetons per cell): 2.1
# E_form (uncorrected) (eV per atom): 1.94
# DFT total energy (eV/f.u.): -27.30
data_SrRe2IrI
_chemical_formula_sum 'Sr1 Re2 Ir1 I1'
_space_group_name_H-M_alt 'P 4/m m m'
_space_group_IT_number 123
_space_group_name_Hall '-P 4 2'
_cell_length_a 4.925
_cell_length_b 4.925
_cell_length_c 5.004
_cell_angle_alpha 90.00
_cell_angle_beta 90.00
_cell_angle_gamma 90.00
loop_
_atom_site_label
_atom_site_fract_x
_atom_site_fract_y
_atom_site_fract_z
Sr1 0.000 0.000 0.000
Re1 0.000 0.500 0.500
Ir1 0.500 0.500 0.000
I1 0.500 0.500 0.500